--- w ---
A relaxed Pm8Nd3Sm2 crystal. Source: Alexandria via LeMat-Bulk, functional PBE.

```
Pm8Nd3Sm2
1.0
6.650 -5.949 0.000
6.650 5.949 0.000
-2.485 0.000 5.725
Pm Nd Sm
8 3 2
direct
0.055 0.055 0.281
0.070 0.584 0.825
0.345 0.345 0.447
0.416 0.930 0.175
0.584 0.070 0.825
0.655 0.655 0.553
0.930 0.416 0.175
0.945 0.945 0.719
0.257 0.743 0.500
0.500 0.500 0.000
0.743 0.257 0.500
0.212 0.212 0.849
0.788 0.788 0.151
```

Properties
* spin magnetization: 0.000 Bohr magnetons per cell
* crystal system: monoclinic


--- x ---
A relaxed Pm8Nd3Sm2 crystal. Source: Alexandria via LeMat-Bulk, functional PBE.

```
Pm8Nd3Sm2
1.0
7.431 -4.667 0.000
7.431 4.667 0.000
-2.335 0.000 6.750
Pm Nd Sm
8 3 2
direct
0.060 0.695 0.322
0.084 0.084 0.229
0.305 0.940 0.678
0.309 0.309 0.609
0.691 0.691 0.391
0.695 0.060 0.322
0.916 0.916 0.771
0.940 0.305 0.678
0.325 0.675 0.000
0.500 0.500 0.500
0.675 0.325 0.000
0.284 0.284 0.080
0.716 0.716 0.920
```

Properties
* spin magnetization: 0.000 Bohr magnetons per cell
* crystal system: monoclinic


Which structure loses on stability? x does.


--- w ---
A relaxed PmNd2Sm4 crystal. Source: Alexandria via LeMat-Bulk, functional PBE.

```
PmNd2Sm4
1.0
1.823 1.052 20.807
-1.823 1.052 20.807
0.000 -2.105 20.807
Pm Nd Sm
1 2 4
direct
0.000 0.000 0.000
0.429 0.429 0.429
0.571 0.571 0.571
0.143 0.143 0.143
0.286 0.286 0.286
0.714 0.714 0.714
0.857 0.857 0.857
```

Properties
* spin magnetization: 0.000 Bohr magnetons per cell
* crystal system: trigonal


--- x ---
A relaxed PmNd2Sm4 crystal. Source: Alexandria via LeMat-Bulk, functional PBE.

```
PmNd2Sm4
1.0
8.566 -1.795 0.000
8.566 1.795 0.000
-4.413 0.000 7.822
Pm Nd Sm
1 2 4
direct
0.000 0.000 0.000
0.070 0.070 0.428
0.930 0.930 0.572
0.294 0.294 0.708
0.356 0.356 0.155
0.644 0.644 0.845
0.706 0.706 0.292
```

Properties
* spin magnetization: 0.000 Bohr magnetons per cell
* crystal system: monoclinic


Which structure loses on stability? x does.


--- w ---
A relaxed PmNd12Sm7 crystal. Source: Alexandria via LeMat-Bulk, functional PBE.

```
PmNd12Sm7
1.0
8.613 4.973 2.752
-8.613 4.973 2.752
0.000 -9.946 2.752
Pm Nd Sm
1 12 7
direct
0.000 0.000 0.000
0.040 0.353 0.353
0.214 0.500 0.786
0.214 0.786 0.500
0.353 0.040 0.353
0.353 0.353 0.040
0.500 0.214 0.786
0.500 0.786 0.214
0.647 0.647 0.960
0.647 0.960 0.647
0.786 0.214 0.500
0.786 0.500 0.214
0.960 0.647 0.647
0.065 0.065 0.408
0.065 0.408 0.065
0.408 0.065 0.065
0.500 0.500 0.500
0.592 0.935 0.935
0.935 0.592 0.935
0.935 0.935 0.592
```

Properties
* spin magnetization: 0.000 Bohr magnetons per cell
* crystal system: trigonal


--- x ---
A relaxed PmNd12Sm7 crystal. Source: Alexandria via LeMat-Bulk, functional PBE.

```
PmNd12Sm7
1.0
-5.819 5.819 5.819
5.819 -5.819 5.819
5.819 5.819 -5.819
Pm Nd Sm
1 12 7
direct
0.000 0.000 0.000
0.001 0.251 0.750
0.250 0.501 0.251
0.250 0.999 0.749
0.251 0.250 0.501
0.251 0.750 0.001
0.499 0.749 0.750
0.501 0.251 0.250
0.749 0.250 0.999
0.749 0.750 0.499
0.750 0.001 0.251
0.750 0.499 0.749
0.999 0.749 0.250
0.000 0.000 0.500
0.000 0.500 0.000
0.000 0.500 0.500
0.500 0.000 0.000
0.500 0.000 0.500
0.500 0.500 0.000
0.500 0.500 0.500
```

Properties
* spin magnetization: 0.000 Bohr magnetons per cell
* crystal system: cubic


Which structure loses on stability? x does.


--- w ---
A relaxed Pm7NdSm2 crystal. Source: Alexandria via LeMat-Bulk, functional PBE.

```
Pm7NdSm2
1.0
6.043 -8.504 0.000
6.043 8.504 0.000
0.000 0.000 3.531
Pm Nd Sm
7 1 2
direct
0.000 0.000 0.000
0.114 0.373 0.000
0.175 0.825 0.500
0.373 0.114 0.000
0.627 0.886 0.000
0.825 0.175 0.500
0.886 0.627 0.000
0.500 0.500 0.500
0.329 0.671 0.000
0.671 0.329 0.000
```

Properties
* spin magnetization: 0.000 Bohr magnetons per cell
* crystal system: orthorhombic


--- x ---
A relaxed Pm7NdSm2 crystal. Source: Alexandria via LeMat-Bulk, functional PBE.

```
Pm7NdSm2
1.0
4.436 -8.194 0.000
4.436 8.194 0.000
0.000 0.000 5.649
Pm Nd Sm
7 1 2
direct
0.000 0.000 0.000
0.206 0.435 0.000
0.275 0.725 0.500
0.435 0.206 0.000
0.565 0.794 0.000
0.725 0.275 0.500
0.794 0.565 0.000
0.500 0.500 0.500
0.204 0.796 0.000
0.796 0.204 0.000
```

Properties
* spin magnetization: 0.000 Bohr magnetons per cell
* crystal system: orthorhombic


Which structure loses on stability? x does.


--- w ---
A relaxed Pm6Nd4Sm crystal. Source: Alexandria via LeMat-Bulk, functional PBE.

```
Pm6Nd4Sm
1.0
-3.376 3.376 8.624
3.376 -3.376 8.624
3.376 3.376 -8.624
Pm Nd Sm
6 4 1
direct
0.000 0.500 0.500
0.051 0.698 0.000
0.302 0.302 0.353
0.500 0.000 0.500
0.698 0.051 0.000
0.949 0.949 0.647
0.133 0.133 0.620
0.487 0.867 0.000
0.513 0.513 0.380
0.867 0.487 0.000
0.500 0.500 0.000
```

Properties
* spin magnetization: 0.000 Bohr magnetons per cell
* crystal system: tetragonal


--- x ---
A relaxed Pm6Nd4Sm crystal. Source: Alexandria via LeMat-Bulk, functional PBE.

```
Pm6Nd4Sm
1.0
-3.841 3.841 6.799
3.841 -3.841 6.799
3.841 3.841 -6.799
Pm Nd Sm
6 4 1
direct
0.000 0.500 0.500
0.041 0.585 0.000
0.415 0.415 0.456
0.500 0.000 0.500
0.585 0.041 0.000
0.959 0.959 0.544
0.248 0.248 0.655
0.408 0.752 0.000
0.592 0.592 0.345
0.752 0.408 0.000
0.000 0.000 0.000
```

Properties
* spin magnetization: 0.000 Bohr magnetons per cell
* crystal system: tetragonal


Which structure loses on stability? x does.


--- w ---
A relaxed Pm3Nd5Sm crystal. Source: Alexandria via LeMat-Bulk, functional PBE.

```
Pm3Nd5Sm
1.0
8.701 -4.132 0.000
8.701 4.132 0.000
-2.529 0.000 9.314
Pm Nd Sm
6 10 2
direct
0.000 0.000 0.000
0.000 0.000 0.500
0.151 0.151 0.282
0.311 0.311 0.734
0.689 0.689 0.266
0.849 0.849 0.718
0.126 0.550 0.424
0.309 0.309 0.086
0.324 0.676 0.000
0.450 0.874 0.576
0.497 0.497 0.326
0.503 0.503 0.674
0.550 0.126 0.424
0.676 0.324 0.000
0.691 0.691 0.914
0.874 0.450 0.576
0.126 0.126 0.838
0.874 0.874 0.162
```

Properties
* spin magnetization: 0.000 Bohr magnetons per cell
* crystal system: monoclinic


--- x ---
A relaxed Pm3Nd5Sm crystal. Source: Alexandria via LeMat-Bulk, functional PBE.

```
Pm3Nd5Sm
1.0
10.327 -3.144 0.000
10.327 3.144 0.000
-6.234 0.000 9.928
Pm Nd Sm
6 10 2
direct
0.000 0.000 0.000
0.000 0.000 0.500
0.050 0.594 0.972
0.406 0.950 0.528
0.594 0.050 0.472
0.950 0.406 0.028
0.020 0.623 0.664
0.174 0.544 0.348
0.377 0.980 0.836
0.419 0.581 0.750
0.456 0.826 0.152
0.544 0.174 0.848
0.581 0.419 0.250
0.623 0.020 0.164
0.826 0.456 0.652
0.980 0.377 0.336
0.097 0.903 0.250
0.903 0.097 0.750
```

Properties
* spin magnetization: 0.000 Bohr magnetons per cell
* crystal system: monoclinic


Which structure loses on stability? w does.